Entry 1:
A relaxed structure of TiBe2Re. Source: Alexandria, functional GGA-PBE.

Results
The value obtained for the energy of formation from the pure elements is 0.24 eV per atom. The calculation puts the magnetization at 0.00 μB/f.u. The value obtained for the polymorph energy (0 for the lowest one) is 1.38 eV/f.u.

a = 3.3676 Å, b = 3.3676 Å, c = 15.2380 Å
α = 90.00°, β = 90.00°, γ = 120.00°
Last column: nearest neighbours and their distance in Å.
Space group R-3m (No. 166, hexagonal axes)
One atom of each set of equivalent atoms:
Ti1 0.0000 0.0000 0.0000 (multiplicity 3)  6 Be 2.38
Be1 0.0000 0.0000 0.2428 (multiplicity 6)  3 Re 2.26, 3 Ti 2.38
Re1 0.0000 0.0000 0.5000 (multiplicity 3)  6 Be 2.26

***

Entry 2:
A relaxed structure of Ti5Be12Re3. Source: Alexandria, functional GGA-PBE.

Results
The value obtained for the energy of formation from the pure elements is 0.86 eV per atom. The calculation puts the magnetization at 1.14 μB/f.u.

a = 13.3883 Å, b = 13.3883 Å, c = 13.3883 Å
α = 90.00°, β = 90.00°, γ = 90.00°
Last column: nearest neighbours and their distance in Å.
Space group Ia-3d (No. 230)
One atom of each set of equivalent atoms:
Ti1 0.0000 0.0000 0.0000 (multiplicity 16)  6 Be 2.32
Ti2 0.0000 0.2500 0.3750 (multiplicity 24)  4 Be 2.50
Be1 0.0112 0.0814 0.1523 (multiplicity 96)  1 Be 2.01
Re1 0.0000 0.2500 0.1250 (multiplicity 24)  8 Be 2.28-2.29

***

Entry 3:
A relaxed structure of TiBeRe2. Source: Alexandria, functional GGA-PBE.

Results
The value obtained for the energy of formation from the pure elements is 0.08 eV per atom. The calculation puts the magnetization at 0.00 μB/f.u. The value obtained for the polymorph energy (0 for the lowest one) is 0.00 eV/f.u.

a = 6.0126 Å, b = 6.0126 Å, c = 6.0126 Å
α = 90.00°, β = 90.00°, γ = 90.00°
Last column: nearest neighbours and their distance in Å.
Space group Fm-3m (No. 225)
One atom of each set of equivalent atoms:
Ti1 0.0000 0.0000 0.0000 (multiplicity 4)  8 Re 2.60
Be1 0.0000 0.0000 0.5000 (multiplicity 4)  8 Re 2.60
Re1 0.2500 0.2500 0.2500 (multiplicity 8)  4 Be 2.60, 4 Ti 2.60

***

Entry 4:
A relaxed structure of Ti2Be4Re. Source: Alexandria, functional GGA-PBE.

Results
The value obtained for the energy of formation from the pure elements is 0.55 eV per atom. The calculation puts the magnetization at 0.00 μB/f.u.

a = 4.0896 Å, b = 4.0896 Å, c = 12.4480 Å
α = 90.00°, β = 90.00°, γ = 90.00°
Last column: nearest neighbours and their distance in Å.
Space group I4/mmm (No. 139)
One atom of each set of equivalent atoms:
Ti1 0.0000 0.0000 0.1181 (multiplicity 4)  5 Be 2.52-2.54
Be1 0.0000 0.0000 0.3219 (multiplicity 4)  1 Re 2.22
Be2 0.0000 0.5000 0.0000 (multiplicity 4)  2 Re 2.04
Re1 0.0000 0.0000 0.5000 (multiplicity 2)  6 Be 2.04-2.22